1.
RbHg4Pd after structural relaxation, computed with GGA-PBE.

a = 5.349 Å, b = 5.349 Å, c = 8.144 Å
α = 90.00°, β = 90.00°, γ = 90.00°
Positions (direct):
Rb: 0.000 0.000 0.000
Hg: 0.000 0.500 0.500
Pd: 0.500 0.500 0.500
Hg: 0.500 0.500 0.824
Hg: 0.500 0.500 0.176
Hg: 0.500 0.000 0.500

Computed properties:
DOS(E_F) ... 2.520 states/eV per cell
Formation energy from the elements ... -80 kJ/mol of formula units

=====

2.
InPdIO2 after structural relaxation, computed with GGA-PBE.

a = 4.206 Å, b = 4.206 Å, c = 5.419 Å
α = 90.00°, β = 90.00°, γ = 90.00°
Positions (direct):
O: 0.000 0.500 0.000
I: 0.000 0.000 0.500
O: 0.500 0.000 0.000
In: 0.500 0.500 0.500
Pd: 0.000 0.000 0.000

Computed properties:
Offset from the most stable computed form ... 288 meV per atom
E_form (uncorrected) ... 0.152 eV/atom
DOS(E_F) ... 7.270 states/eV per cell

=====

3.
Ba2LiMg12Al3 after structural relaxation, computed with GGA-PBE.

a = 9.253 Å, b = 9.253 Å, c = 9.253 Å
α = 63.37°, β = 63.37°, γ = 63.37°
Positions (direct):
Mg: 0.000 0.666 0.666
Al: 0.500 0.000 0.000
Li: 0.000 0.000 0.000
Ba: 0.608 0.608 0.608
Mg: 0.666 0.666 0.000
Ba: 0.392 0.392 0.392
Al: 0.000 0.500 0.000
Mg: 0.334 0.000 0.334
Mg: 0.890 0.344 0.890
Mg: 0.666 0.000 0.666
Mg: 0.890 0.890 0.344
Al: 0.000 0.000 0.500
Mg: 0.000 0.334 0.334
Mg: 0.334 0.334 0.000
Mg: 0.110 0.656 0.110
Mg: 0.656 0.110 0.110
Mg: 0.344 0.890 0.890
Mg: 0.110 0.110 0.656

Computed properties:
DOS(E_F) ... 12.550 states/eV per cell
Formation energy from the elements ... 603 kJ/mol of formula units

=====

4.
SmTm3Th2As6 after structural relaxation, computed with GGA-PBE.

a = 4.165 Å, b = 8.286 Å, c = 9.276 Å
α = 102.61°, β = 102.97°, γ = 90.00°
Positions (direct):
Th: 0.835 0.669 0.670
As: 0.664 0.589 0.329
As: 0.997 0.256 0.995
As: 0.003 0.744 0.005
Th: 0.165 0.331 0.330
As: 0.669 0.076 0.338
As: 0.336 0.411 0.671
Tm: 0.166 0.834 0.331
Tm: 0.834 0.166 0.669
Tm: 0.500 0.500 0.000
Sm: 0.500 0.000 0.000
As: 0.331 0.924 0.662

Computed properties:
DOS(E_F) ... 3.870 states/eV per cell
Formation energy from the elements ... -1710 kJ/mol of formula units

=====

5.
MgGaGe2S6 after structural relaxation, computed with GGA-PBE.

a = 6.634 Å, b = 8.729 Å, c = 8.729 Å
α = 86.03°, β = 75.52°, γ = 75.52°
Positions (direct):
S: 0.085 0.642 0.125
Ge: 0.719 0.228 0.389
S: 0.501 0.443 0.303
Ga: 0.750 0.809 0.191
S: 0.635 0.824 0.954
S: 0.499 0.557 0.697
S: 0.915 0.358 0.875
Ge: 0.219 0.389 0.228
Ge: 0.281 0.772 0.611
Mg: 0.750 0.116 0.884
S: 0.999 0.697 0.557
Mg: 0.250 0.884 0.116
S: 0.585 0.125 0.642
Ga: 0.250 0.191 0.809
S: 0.001 0.303 0.443
S: 0.865 0.046 0.176
S: 0.135 0.954 0.824
S: 0.415 0.875 0.358
Ge: 0.781 0.611 0.772
S: 0.365 0.176 0.046

Computed properties:
E_form (uncorrected) ... -0.465 eV/atom
DOS(E_F) ... 8.061 states/eV per cell

=====

6.
SrCu2AgCl8 after structural relaxation, computed with GGA-PBE.

a = 6.473 Å, b = 6.473 Å, c = 8.475 Å
α = 112.45°, β = 112.45°, γ = 90.00°
Positions (direct):
Cl: 0.334 0.954 0.366
Cl: 0.732 0.835 0.118
Cu: 0.500 0.500 0.000
Sr: 0.750 0.250 0.500
Cl: 0.032 0.412 0.366
Cl: 0.588 0.666 0.634
Cl: 0.165 0.613 0.882
Ag: 0.000 0.000 0.000
Cl: 0.046 0.968 0.634
Cu: 0.250 0.750 0.500
Cl: 0.387 0.283 0.118
Cl: 0.717 0.268 0.882

Computed properties:
E_form (uncorrected) ... -0.843 eV/atom
DOS(E_F) ... 12.161 states/eV per cell